# Ac2Be2NiO6

Ac2Be2NiO6 after structural relaxation (PBE+U, Alexandria).

Computed properties:
uncorrected energy = -6.787 eV/atom

Geometry as CIF:
```
data_Ac2Be2NiO6
_cell_length_a 5.4852
_cell_length_b 5.4852
_cell_length_c 5.9053
_cell_angle_alpha 90.00
_cell_angle_beta 90.00
_cell_angle_gamma 120.00
_symmetry_space_group_name_H-M 'P -3'
_symmetry_Int_Tables_number 147
_symmetry_space_group_name_Hall '-P 3'
loop_
_atom_site_label
_atom_site_type_symbol
_atom_site_fract_x
_atom_site_fract_y
_atom_site_fract_z
_atom_site_occupancy
Ac1 Ac 0.3333 0.6667 0.2381 1
Be1 Be 0.3333 0.6667 0.7733 1
Ni1 Ni 0.0000 0.0000 0.0000 1
O1 O 0.1220 0.3551 0.7928 1
```